This record from Alexandria describes a relaxed MnCoPIrF crystal. The functional is PBE+U.

abc: 3.2499 5.9103 5.9103
angles: 41.97 90.00 90.00
Positions (direct):
Mn: 0.0000 0.0000 0.0000
Co: 0.0000 0.6627 0.6627
P: 0.5000 0.7928 0.7928
Ir: 0.5000 0.2024 0.2024
F: 0.0000 0.4742 0.4742

Distance to the lowest polymorph of the same formula   138 meV/atom